[1]
# K5Ag2As3Se9 | the Alexandria database | SCAN | single point on PBEsol structure
data_K5Ag2As3Se9
_chemical_formula_sum 'K20 Ag8 As12 Se36'
_space_group_name_H-M_alt 'P n m a'
_space_group_IT_number 62
_cell_length_a 12.463
_cell_length_b 12.442
_cell_length_c 13.941
_cell_angle_alpha 90.00
_cell_angle_beta 90.00
_cell_angle_gamma 90.00
loop_
_space_group_symop_operation_xyz
'x,y,z'
'-x,-y,-z'
'-x+1/2,-y,z+1/2'
'x+1/2,y,-z+1/2'
'x+1/2,-y+1/2,-z+1/2'
'-x+1/2,y+1/2,z+1/2'
'-x,y+1/2,-z'
'x,-y+1/2,z'
loop_
_atom_site_label
_atom_site_type_symbol
_atom_site_fract_x
_atom_site_fract_y
_atom_site_fract_z
K1 K 0.026 0.079 0.169
K2 K 0.170 0.750 0.507
K3 K 0.176 0.074 0.506
Ag1 Ag 0.239 0.587 0.288
As1 As 0.018 0.250 0.912
As2 As 0.031 0.250 0.721
As3 As 0.247 0.750 0.798
Se1 Se 0.040 0.592 0.350
Se2 Se 0.074 0.250 0.345
Se3 Se 0.125 0.098 0.936
Se4 Se 0.139 0.750 0.939
Se5 Se 0.206 0.597 0.704
Se6 Se 0.217 0.250 0.678
# Volume in Å³/cell: 2161.75
# Formation energy from raw total energies in eV/atom: -0.7399

[2]
# LaAg2As2 | the Alexandria database | SCAN | single point on PBEsol structure
data_LaAg2As2
_chemical_formula_sum 'La2 Ag4 As4'
_space_group_name_H-M_alt 'I 4/m m m'
_space_group_IT_number 139
_space_group_name_Hall '-I 4 2'
_cell_length_a 4.117
_cell_length_b 4.117
_cell_length_c 12.209
_cell_angle_alpha 90.00
_cell_angle_beta 90.00
_cell_angle_gamma 90.00
loop_
_atom_site_label
_atom_site_type_symbol
_atom_site_fract_x
_atom_site_fract_y
_atom_site_fract_z
La1 La 0.000 0.000 0.000
Ag1 Ag 0.000 0.500 0.250
As1 As 0.000 0.000 0.391
# ΔH_f (0 K) in eV per atom: -0.6577
# Volume in Å³/cell: 206.97

Which formula does entry 2 have? LaAg2As2

Look up the volume of the second one. 206.97 Å³/cell